1.
A plane-wave DFT calculation with PBE-GGA was carried out for a relaxed ZrCo2Te crystal.

The density of states at the Fermi level is 4.2 states/eV/f.u. Its formation energy without anion corrections is -0.082 eV per atom. For the total energy, the calculation gives -26.23 eV for the cell shown.

Lattice parameters (Å, degrees): 3.3584 3.3896 5.7738 90.00 90.00 90.00
With the nearest neighbours (Å) after each atom.
Space group Pmmm (No. 47)
Unique sites:
Zr1 0.0000 0.0000 0.0000 x1  8 Co 2.76, 2 Te 2.89
Co1 0.5000 0.5000 0.2415 x2  4 Zr 2.76, 2 Co 2.79-2.98, 4 Te 2.81
Te1 0.0000 0.0000 0.5000 x1  8 Co 2.81, 2 Zr 2.89



2.
A plane-wave DFT calculation with PBE-GGA was carried out for a relaxed PrGdYLu crystal.

The density of states at the Fermi level is 6.8 states/eV/f.u. The calculation puts the energy of formation from the pure elements at 8.9 kJ/mol of atoms. For the total energy, the calculation gives -117.91 eV for the cell shown.

Lattice parameters (Å, degrees): 8.0705 8.0705 8.0705 90.00 90.00 90.00
With the nearest neighbours (Å) after each atom.
Space group F-43m (No. 216)
Unique sites:
Pr1 0.0000 0.0000 0.0000 x4  4 Lu 3.49, 4 Y 3.49
Gd1 0.0000 0.0000 0.5000 x4  4 Y 3.49, 4 Lu 3.49
Y1 0.2500 0.2500 0.2500 x4  4 Gd 3.49, 4 Pr 3.49
Lu1 0.2500 0.2500 0.7500 x4  4 Gd 3.49, 4 Pr 3.49



3.
A plane-wave DFT calculation with PBE-GGA was carried out for a relaxed Ba2Al crystal.

The density of states at the Fermi level is 3.6 states/eV/f.u. The calculation puts the energy of formation from the pure elements at 6.9 kJ/mol of atoms. For the total energy, the calculation gives -29.49 eV for the cell shown.

Lattice parameters (Å, degrees): 8.5177 8.5177 8.5177 90.00 90.00 90.00
With the nearest neighbours (Å) after each atom.
Space group Pa-3 (No. 205)
Unique sites:
Ba1 0.1711 0.1711 0.1711 x8  3 Al 3.48
Al1 0.0000 0.0000 0.5000 x4  6 Ba 3.48



4.
A plane-wave DFT calculation with PBE-GGA was carried out for a relaxed La6Tb5Ho crystal.

The density of states at the Fermi level is 18.8 states/eV/f.u. The calculation puts the energy of formation from the pure elements at 2.2 kJ/mol of atoms. For the total energy, the calculation gives -57.02 eV for the cell shown. The offset from the most stable computed form comes out at 0.0043 eV per atom.

Lattice parameters (Å, degrees): 6.2377 7.4084 9.6723 112.50 92.04 90.04
With the nearest neighbours (Å) after each atom.
Space group P-1 (No. 2)
Unique sites:
La1 0.0001 0.2496 0.0000 x2  6 Tb 3.62-3.63, 2 Ho 3.63, 4 La 3.70-3.71
La2 0.3340 0.0834 0.6671 x2  1 Ho 3.62, 7 Tb 3.62-3.63, 4 La 3.70-3.71
La3 0.3341 0.5837 0.6671 x2  1 Ho 3.62, 7 Tb 3.62-3.63, 4 La 3.70-3.71
Tb1 0.1665 0.1665 0.3333 x2  8 La 3.62-3.63, 3 Tb 3.70-3.71, 1 Ho 3.70
Tb2 0.1660 0.6667 0.3334 x2  8 La 3.63, 4 Tb 3.70-3.71
Tb3 0.5000 0.5000 0.0000 x1  8 La 3.62-3.63, 2 Tb 3.70, 2 Ho 3.70
Ho1 0.5000 0.0000 0.0000 x1  8 La 3.62-3.63, 4 Tb 3.70